This record from the Alexandria database describes an optimized crystal structure of VSbPO2. The functional is PBE+U.

a b c (Å): 3.8255 3.8255 5.1123
angles (deg): 90.00 90.00 90.00
Element x y z (fractional)
V: 0.0000 0.0000 0.0000
Sb: 0.5000 0.5000 0.5000
P: 0.0000 0.0000 0.5000
O: 0.0000 0.5000 0.0000
O: 0.5000 0.0000 0.0000

Computed properties:
The volume is 74.8 Å³/f.u. As for the energy above the most stable polymorph in this dataset: 0.000 eV per atom. The calculation puts the density of states at the Fermi level at 1.65 states/eV/cell.